Rh3Br, relaxed, DFT PBE; E_tot = -5.443 eV per atom; symmetry = P4/mmm, No. 123
1.0
2.942 0.000 0.000
0.000 2.942 0.000
0.000 0.000 7.343
Rh Br
3 1
direct
0.500 0.500 0.267
0.000 0.000 0.500
0.500 0.500 0.733
0.000 0.000 0.000